## ScZnNi6 (meta-GGA SCAN)

Data for ScZnNi6 at its PBEsol-relaxed geometry.

Results
Final energy, eV per atom: -15.831
Calculated formation energy, eV per formula unit: -1.858
Space-group type: No. 65
V, Å³/atom: 11.53
M_tot, μB per formula unit: 2.15

Cell: 6.2112 6.2112 10.1603 Å, 90.00 90.00 109.77°
Closest atoms and distances in Å follow each position.
Element x y z (fractional)
Sc: 0.0000 0.0000 0.2470  12 Ni 2.51-2.60
Sc: 0.0000 0.0000 0.7530  12 Ni 2.51-2.60
Sc: 0.2449 0.7551 0.5000  12 Ni 2.49-2.61
Sc: 0.7551 0.2449 0.5000  12 Ni 2.49-2.61
Zn: 0.2414 0.7586 0.0000  12 Ni 2.45-2.63
Zn: 0.5000 0.5000 0.2463  12 Ni 2.48-2.58
Zn: 0.5000 0.5000 0.7537  12 Ni 2.48-2.58
Zn: 0.7586 0.2414 0.0000  12 Ni 2.45-2.63
Ni: 0.0000 0.0000 0.0000  2 Zn 2.45, 2 Sc 2.51, 8 Ni 2.57
Ni: 0.0000 0.0000 0.5000  4 Sc 2.49-2.57, 8 Ni 2.59
Ni: 0.1309 0.3862 0.1208  8 Ni 2.45-2.59, 3 Zn 2.50-2.51, 1 Sc 2.60
Ni: 0.1309 0.3862 0.8792  8 Ni 2.45-2.59, 3 Zn 2.50-2.51, 1 Sc 2.60
Ni: 0.1349 0.3810 0.3707  1 Zn 2.48, 8 Ni 2.50-2.63, 3 Sc 2.55-2.58
Ni: 0.1349 0.3810 0.6293  1 Zn 2.48, 8 Ni 2.50-2.63, 3 Sc 2.55-2.58
Ni: 0.2529 0.7471 0.2435  8 Ni 2.45-2.61, 2 Zn 2.48-2.51, 2 Sc 2.57-2.61
Ni: 0.2529 0.7471 0.7565  8 Ni 2.45-2.61, 2 Zn 2.48-2.51, 2 Sc 2.57-2.61
Ni: 0.3810 0.1349 0.3707  1 Zn 2.48, 8 Ni 2.50-2.63, 3 Sc 2.55-2.58
Ni: 0.3810 0.1349 0.6293  1 Zn 2.48, 8 Ni 2.50-2.63, 3 Sc 2.55-2.58
Ni: 0.3862 0.1309 0.1208  8 Ni 2.45-2.59, 3 Zn 2.50-2.51, 1 Sc 2.60
Ni: 0.3862 0.1309 0.8792  8 Ni 2.45-2.59, 3 Zn 2.50-2.51, 1 Sc 2.60
Ni: 0.5000 0.5000 0.0000  8 Ni 2.48, 4 Zn 2.50-2.63
Ni: 0.5000 0.5000 0.5000  8 Ni 2.51, 2 Zn 2.58, 2 Sc 2.59
Ni: 0.6138 0.8691 0.1208  8 Ni 2.45-2.59, 3 Zn 2.50-2.51, 1 Sc 2.60
Ni: 0.6138 0.8691 0.8792  8 Ni 2.45-2.59, 3 Zn 2.50-2.51, 1 Sc 2.60
Ni: 0.6190 0.8651 0.3707  1 Zn 2.48, 8 Ni 2.50-2.63, 3 Sc 2.55-2.58
Ni: 0.6190 0.8651 0.6293  1 Zn 2.48, 8 Ni 2.50-2.63, 3 Sc 2.55-2.58
Ni: 0.7471 0.2529 0.2435  8 Ni 2.45-2.61, 2 Zn 2.48-2.51, 2 Sc 2.57-2.61
Ni: 0.7471 0.2529 0.7565  8 Ni 2.45-2.61, 2 Zn 2.48-2.51, 2 Sc 2.57-2.61
Ni: 0.8651 0.6190 0.3707  1 Zn 2.48, 8 Ni 2.50-2.63, 3 Sc 2.55-2.58
Ni: 0.8651 0.6190 0.6293  1 Zn 2.48, 8 Ni 2.50-2.63, 3 Sc 2.55-2.58
Ni: 0.8691 0.6138 0.1208  8 Ni 2.45-2.59, 3 Zn 2.50-2.51, 1 Sc 2.60
Ni: 0.8691 0.6138 0.8792  8 Ni 2.45-2.59, 3 Zn 2.50-2.51, 1 Sc 2.60

***

## Ta2Bi4O11 (meta-GGA SCAN)

Data for Ta2Bi4O11 at its PBEsol-relaxed geometry.

Results
Final energy, eV per atom: -32.346
ΔE_f (raw), meV per atom: -1991.1
Space-group type: No. 2
V, Å³/atom: 14.30
M_tot, μB per formula unit: 0.00

Cell: 6.5584 7.6527 9.8746 Å, 78.89 89.93 89.95°
Closest atoms and distances in Å follow each position.
Element x y z (fractional)
Ta: 0.0890 0.2969 0.3114  6 O 1.93-2.08
Ta: 0.0923 0.7981 0.3108  6 O 1.93-2.08
Ta: 0.9077 0.2019 0.6892  6 O 1.93-2.08
Ta: 0.9110 0.7031 0.6886  6 O 1.93-2.08
Bi: 0.2454 0.6290 0.9789  7 O 2.34-2.60
Bi: 0.2456 0.1284 0.9792  7 O 2.30-2.51
Bi: 0.3789 0.4558 0.6659  3 O 2.13-2.25
Bi: 0.4395 0.9532 0.6805  3 O 2.11-2.26
Bi: 0.5605 0.0468 0.3195  3 O 2.11-2.26
Bi: 0.6211 0.5442 0.3341  3 O 2.13-2.25
Bi: 0.7544 0.8716 0.0208  7 O 2.30-2.51
Bi: 0.7546 0.3710 0.0211  7 O 2.34-2.60
O: 0.0013 0.2157 0.4993  2 Ta 1.93-1.96
O: 0.0245 0.5473 0.3126  2 Ta 1.96-1.97
O: 0.0955 0.3600 0.0993  1 Ta 2.06
O: 0.1138 0.8343 0.1034  1 Ta 2.02
O: 0.1716 0.0533 0.2886  2 Ta 1.99
O: 0.2131 0.1499 0.7362  1 Ta 2.08, 1 Bi 2.26
O: 0.2166 0.7281 0.7373  1 Ta 2.08, 1 Bi 2.25
O: 0.3742 0.3387 0.3386  1 Ta 1.93
O: 0.3748 0.7422 0.3522  1 Ta 1.93
O: 0.4140 0.3940 0.8844  2 Bi 2.13-2.34
O: 0.4547 0.9046 0.8975  2 Bi 2.11-2.30
O: 0.5453 0.0954 0.1025  2 Bi 2.11-2.30
O: 0.5860 0.6060 0.1156  2 Bi 2.13-2.34
O: 0.6252 0.2578 0.6478  1 Ta 1.93
O: 0.6258 0.6613 0.6614  1 Ta 1.93
O: 0.7834 0.2719 0.2627  1 Ta 2.08, 1 Bi 2.25
O: 0.7869 0.8501 0.2638  1 Ta 2.08, 1 Bi 2.26
O: 0.8284 0.9467 0.7114  2 Ta 1.99
O: 0.8862 0.1657 0.8966  1 Ta 2.02
O: 0.9045 0.6400 0.9007  1 Ta 2.06
O: 0.9755 0.4527 0.6874  2 Ta 1.96-1.97
O: 0.9987 0.7843 0.5007  2 Ta 1.93-1.96